(1)
The following is a PBE calculation of BeReBr2 after structural relaxation, from Alexandria via LeMat-Bulk.

Cell: 10.8961 10.8961 10.8961 Å, 16.54 16.54 16.54°
Atoms (fractional coordinates):
Be (0.0000, 0.0000, 0.0000)
Re (0.5000, 0.5000, 0.5000)
Br (0.2888, 0.2888, 0.2888)
Br (0.7112, 0.7112, 0.7112)

Computed properties:
Offset from the most stable computed form = 2.768 eV/f.u.
Size of the total moment = 0.52 μB per atom
Calculated density = 6.45 g/cm3
Raw formation energy = 0.85 eV/atom


(2)
The following is a PBE calculation of Mg2Hg2Pd after structural relaxation, from Alexandria via LeMat-Bulk.

Cell: 7.4557 7.4557 3.6571 Å, 90.00 90.00 90.00°
Atoms (fractional coordinates):
Mg (0.1657, 0.3343, 0.0000)
Mg (0.3343, 0.8343, 0.0000)
Mg (0.6657, 0.1657, 0.0000)
Mg (0.8343, 0.6657, 0.0000)
Hg (0.1403, 0.6403, 0.5000)
Hg (0.3597, 0.1403, 0.5000)
Hg (0.6403, 0.8597, 0.5000)
Hg (0.8597, 0.3597, 0.5000)
Pd (0.0000, 0.0000, 0.5000)
Pd (0.5000, 0.5000, 0.5000)

Computed properties:
Offset from the most stable computed form = 0.974 eV/f.u.
Size of the total moment = 0.00 μB per atom
Calculated density = 9.09 g/cm3


(3)
The following is a PBE calculation of Ce2IrCl after structural relaxation, from Alexandria via LeMat-Bulk.

Cell: 5.8617 4.0140 8.6402 Å, 90.00 93.98 90.00°
Atoms (fractional coordinates):
Ce (0.2082, 0.2500, 0.1462)
Ce (0.2607, 0.2500, 0.5946)
Ce (0.7393, 0.7500, 0.4054)
Ce (0.7918, 0.7500, 0.8538)
Ir (0.2354, 0.7500, 0.3646)
Ir (0.7646, 0.2500, 0.6354)
Cl (0.2915, 0.7500, 0.8830)
Cl (0.7085, 0.2500, 0.1170)

Computed properties:
Offset from the most stable computed form = 0.113 eV/f.u.
Size of the total moment = 0.50 μB per atom
Calculated density = 8.32 g/cm3
Raw formation energy = -1.13 eV/atom


Look up the offset from the most stable computed form of the second one.
0.974 eV/f.u.